[1]
{"formula": "PrSi2Ir2Pt", "functional": "PBE", "state": "relaxed", "final_energy_ev_per_atom": -6.852, "formation_energy_uncorrected_ev_per_fu": -1.7, "volume_a3_per_cell": 114.9, "m_tot_mub_per_atom": 0.0000, "cell": [[4.535, 0.000, 0.000], [0.000, 4.535, 0.000], [0.000, 0.000, 5.587]], "species": ["Pr", "Si", "Si", "Ir", "Ir", "Pt"], "fractional_positions": [[0.000, 0.000, 0.000], [0.000, 0.500, 0.500], [0.500, 0.000, 0.500], [0.500, 0.500, 0.241], [0.500, 0.500, 0.759], [0.000, 0.000, 0.500]]}



[2]
{"formula": "PrSm2Ir2Pt", "functional": "PBE", "state": "relaxed", "formation_enthalpy_0k_kj_per_mol_atoms": -30, "final_energy_ev_per_atom": -6.643, "volume_a3_per_cell": 333.6, "m_tot_mub_per_atom": 0.0000, "cell": [[5.620, 0.000, 0.000], [0.000, 5.620, 0.000], [0.000, 0.000, 10.562]], "species": ["Pr", "Pr", "Sm", "Sm", "Sm", "Sm", "Ir", "Ir", "Ir", "Ir", "Pt", "Pt"], "fractional_positions": [[0.000, 0.000, 0.000], [0.500, 0.500, 0.500], [0.000, 0.500, 0.250], [0.000, 0.500, 0.750], [0.500, 0.000, 0.250], [0.500, 0.000, 0.750], [0.000, 0.000, 0.257], [0.000, 0.000, 0.743], [0.500, 0.500, 0.243], [0.500, 0.500, 0.757], [0.000, 0.000, 0.500], [0.500, 0.500, 0.000]]}